Na2MgGe2O6 | GGA-PBE | optimized geometry

a = 5.105 Å, b = 5.105 Å, c = 5.743 Å
α = 90.00°, β = 90.00°, γ = 120.00°
Fractional positions:
O1 0.360 0.360 0.183
Mg1 0.000 0.000 0.000
Ge1 0.667 0.333 0.000
O2 0.000 0.360 0.817
Ge2 0.333 0.667 0.000
O3 0.360 0.000 0.817
O4 0.640 0.000 0.183
O5 0.000 0.640 0.183
O6 0.640 0.640 0.817
Na1 0.667 0.333 0.500
Na2 0.333 0.667 0.500

Summary:
**Energy relative to the elements, uncorrected**: -1.90 eV per atom